Record 1
The following is a SCAN calculation of Li3PdF6 at its PBEsol-relaxed geometry, from the Alexandria database.

Cell and atoms, written as extended XYZ:
```
10
Lattice="-1.795 -1.408 5.024 3.446 -2.375 3.595 1.724 2.800 4.430" Properties=species:S:1:pos:R:3 pbc="T T T"
Li 2.532 -0.738 9.787
Li 0.844 -0.246 3.262
Li 1.688 -0.492 6.525
Pd 0.000 0.000 0.000
F -0.017 -0.940 5.790
F 1.670 -2.103 7.550
F 3.393 -0.043 7.259
F 0.827 0.430 7.959
F 2.549 -1.414 5.091
F 1.706 1.119 5.499
```

Properties
Its calculated density is 3.4 g cm⁻³. The raw formation energy comes out at -50.9 kcal/mol of atoms. The calculation puts the size of the total moment at 1.0 Bohr magnetons per cell.

Record 2
The following is a SCAN calculation of Li3PdF at its PBEsol-relaxed geometry, from the Alexandria database.

Cell and atoms, written as extended XYZ:
```
5
Lattice="3.910 0.000 0.000 0.000 3.910 0.000 0.000 0.000 3.910" Properties=species:S:1:pos:R:3 pbc="T T T"
Li 0.000 1.955 0.000
Li 0.000 0.000 1.955
Li 1.955 0.000 0.000
Pd 1.955 1.955 1.955
F 0.000 0.000 0.000
```

Properties
Its calculated density is 4.1 g cm⁻³. The raw formation energy comes out at -30.7 kcal/mol of atoms. The calculation puts the size of the total moment at 0.0 Bohr magnetons per cell.

Record 3
The following is a SCAN calculation of Li2PdF6 at its PBEsol-relaxed geometry, from the Alexandria database.

Cell and atoms, written as extended XYZ:
```
18
Lattice="-4.490 -1.037 0.254 1.012 -3.782 2.444 -0.668 4.767 7.653" Properties=species:S:1:pos:R:3 pbc="T T T"
Li -0.225 1.602 2.571
Li -2.298 1.576 7.747
Li -0.444 3.166 5.082
Li -1.849 -1.628 2.604
Pd -2.073 -0.026 5.176
Pd 0.000 0.000 0.000
F -1.118 0.208 6.824
F -1.233 3.074 6.949
F -2.874 -1.843 0.897
F -3.095 -1.441 5.968
F -0.604 -2.976 1.801
F -1.052 1.389 4.383
F -0.778 -0.167 1.746
F -0.905 -1.319 4.373
F -3.368 0.115 8.605
F -3.242 1.267 5.978
F -2.914 -3.125 3.403
F -3.028 -0.259 3.528
```

Properties
Its calculated density is 4.0 g cm⁻³. The raw formation energy comes out at -52.5 kcal/mol of atoms. The calculation puts the size of the total moment at 0.0 Bohr magnetons per cell.

Record 4
The following is a SCAN calculation of LiPtF2 at its PBEsol-relaxed geometry, from the Alexandria database.

Cell and atoms, written as extended XYZ:
```
8
Lattice="-2.120 -3.031 -3.343 5.235 0.513 -0.067 2.767 -3.791 1.682" Properties=species:S:1:pos:R:3 pbc="T T T"
Li 2.779 -1.449 -0.449
Li 0.324 -3.411 -0.831
Pt 3.103 -4.860 -1.279
Pt 0.000 0.000 0.000
F 3.817 -2.676 -1.228
F 5.904 -3.565 0.723
F 0.951 -4.575 -2.032
F 1.092 -1.800 -0.919
```

Properties
The calculation puts the polymorph energy (0 for the lowest one) at 0.759 eV per atom. Its calculated density is 8.2 g cm⁻³. The raw formation energy comes out at -29.6 kcal/mol of atoms. The calculation puts the size of the total moment at 2.3 Bohr magnetons per cell.

Record 5
The following is a SCAN calculation of LiPtF2 at its PBEsol-relaxed geometry, from the Alexandria database.

Cell and atoms, written as extended XYZ:
```
4
Lattice="2.802 0.000 0.000 1.401 2.426 0.000 1.401 0.809 6.149" Properties=species:S:1:pos:R:3 pbc="T T T"
F 4.202 2.426 2.000
F 1.401 0.809 4.149
Pt 0.000 0.000 0.000
Li 2.802 1.617 3.075
```

Properties
The calculation puts the polymorph energy (0 for the lowest one) at 0.000 eV per atom. Its calculated density is 9.5 g cm⁻³. The raw formation energy comes out at -47.2 kcal/mol of atoms. The calculation puts the size of the total moment at 0.0 Bohr magnetons per cell.

Record 6
The following is a SCAN calculation of RbLi3F at its PBEsol-relaxed geometry, from the Alexandria database.

Cell and atoms, written as extended XYZ:
```
5
Lattice="4.976 0.000 0.000 0.000 4.976 0.000 0.000 0.000 4.976" Properties=species:S:1:pos:R:3 pbc="T T T"
Li 0.000 2.488 0.000
Li 0.000 0.000 2.488
Li 2.488 0.000 0.000
Rb 2.488 2.488 2.488
F 0.000 0.000 0.000
```

Properties
Its calculated density is 1.7 g cm⁻³. The raw formation energy comes out at -14.1 kcal/mol of atoms. The calculation puts the size of the total moment at 0.0 Bohr magnetons per cell.

Record 7
The following is a SCAN calculation of RbLiF2 at its PBEsol-relaxed geometry, from the Alexandria database.

Cell and atoms, written as extended XYZ:
```
8
Lattice="-1.278 1.458 -5.087 -3.809 -2.897 2.595 0.462 4.117 3.532" Properties=species:S:1:pos:R:3 pbc="T T T"
Li -1.674 0.610 3.063
Li -1.245 3.092 0.754
Rb 0.000 0.000 0.000
Rb -3.380 -0.415 0.285
F -3.258 -0.324 3.408
F -2.204 3.306 -0.838
F -2.122 1.664 1.584
F -1.666 0.709 -2.076
```

Properties
The calculation puts the polymorph energy (0 for the lowest one) at 0.036 eV per atom. Its calculated density is 3.6 g cm⁻³. The raw formation energy comes out at -68.3 kcal/mol of atoms. The calculation puts the size of the total moment at 0.0 Bohr magnetons per cell.

Record 8
The following is a SCAN calculation of RbLiF2 at its PBEsol-relaxed geometry, from the Alexandria database.

Cell and atoms, written as extended XYZ:
```
4
Lattice="3.348 0.000 0.000 1.674 2.899 0.000 1.674 0.966 6.884" Properties=species:S:1:pos:R:3 pbc="T T T"
Li 3.348 1.933 3.442
Rb 0.000 0.000 0.000
F 5.022 2.899 2.386
F 1.674 0.966 4.498
```

Properties
The calculation puts the polymorph energy (0 for the lowest one) at 0.589 eV per atom. Its calculated density is 3.2 g cm⁻³. The raw formation energy comes out at -55.5 kcal/mol of atoms. The calculation puts the size of the total moment at 0.0 Bohr magnetons per cell.

Question: Look up the raw formation energy of the fifth one.
Answer: -47.2 kcal/mol of atoms